[1]
Compound: ZrTlTe3Pd
Source: OQMD
Functional: GGA-PBE
Structure: relaxed

Cell lengths 8.772, 3.991, 10.782 Å; angles 90.00, 111.77, 90.00 degrees
Space group P2_1/m (No. 11)
Symmetry-distinct sites (fractional):
Zr 0.217 0.250 0.178 [2 per cell]
Tl 0.220 0.750 0.709 [2 per cell]
Te 0.052 0.250 0.877 [2 per cell]
Te 0.249 0.250 0.452 [2 per cell]
Te 0.436 0.750 0.143 [2 per cell]
Pd 0.416 0.750 0.390 [2 per cell]

## Properties
relative energy among the computed polymorphs = 0.0000 eV per atom
total energy = -58.64 eV for the cell shown



[2]
Compound: ZrTlTe3Pd
Source: OQMD
Functional: GGA-PBE
Structure: relaxed

Cell lengths 15.868, 4.002, 11.034 Å; angles 90.00, 90.00, 90.00 degrees
Space group Pnma (No. 62)
Symmetry-distinct sites (fractional):
Zr 0.018 0.250 0.188 [4 per cell]
Tl 0.239 0.250 0.454 [4 per cell]
Te 0.090 0.250 0.935 [4 per cell]
Te 0.100 0.750 0.616 [4 per cell]
Te 0.146 0.750 0.240 [4 per cell]
Pd 0.014 0.750 0.397 [4 per cell]

## Properties
relative energy among the computed polymorphs = 0.0007 eV per atom
total energy = -117.27 eV for the cell shown



[3]
Compound: Y3Tm4Te2Pd2
Source: OQMD
Functional: GGA-PBE
Structure: relaxed

Cell lengths 3.935, 15.628, 9.539 Å; angles 90.00, 90.00, 90.00 degrees
Space group Imm2 (No. 44)
Symmetry-distinct sites (fractional):
Y 0.000 0.000 0.000 [2 per cell]
Y 0.000 0.356 0.261 [4 per cell]
Tm 0.000 0.130 0.414 [4 per cell]
Tm 0.000 0.317 0.623 [4 per cell]
Te 0.000 0.000 0.659 [2 per cell]
Te 0.000 0.500 0.764 [2 per cell]
Pd 0.000 0.240 0.931 [4 per cell]

## Properties
total energy = -126.91 eV for the cell shown



[4]
Compound: TePdW
Source: OQMD
Functional: GGA-PBE
Structure: relaxed

Cell lengths 6.226, 6.226, 6.226 Å; angles 90.00, 90.00, 90.00 degrees
Space group F-43m (No. 216)
Symmetry-distinct sites (fractional):
Te 0.000 0.000 0.000 [4 per cell]
Pd 0.250 0.250 0.750 [4 per cell]
W 0.250 0.250 0.250 [4 per cell]

## Properties
total energy = -77.23 eV for the cell shown



[5]
Compound: YTePd2
Source: OQMD
Functional: GGA-PBE
Structure: relaxed

Cell lengths 6.897, 6.897, 6.897 Å; angles 90.00, 90.00, 90.00 degrees
Space group F-43m (No. 216)
Symmetry-distinct sites (fractional):
Y 0.000 0.000 0.000 [4 per cell]
Te 0.250 0.250 0.750 [4 per cell]
Pd 0.000 0.000 0.500 [4 per cell]
Pd 0.250 0.250 0.250 [4 per cell]

## Properties
total energy = -90.24 eV for the cell shown



[6]
Compound: ZrTe2Pd2
Source: OQMD
Functional: GGA-PBE
Structure: relaxed

Cell lengths 3.840, 3.840, 14.297 Å; angles 90.00, 90.00, 90.00 degrees
Space group I4/mmm (No. 139)
Symmetry-distinct sites (fractional):
Zr 0.000 0.000 0.000 [2 per cell]
Te 0.000 0.000 0.389 [4 per cell]
Pd 0.000 0.500 0.250 [4 per cell]

## Properties
total energy = -53.86 eV for the cell shown